(1)
Below is an optimized crystal structure of PSeCl2, with properties calculated at the PBE-GGA level.

Properties
* distance to the lowest polymorph of the same formula: 399.7 meV/atom
* total moment: 0.0 μB/cell
* volume: 36.11 A^3/atom
* total energy: -2.96 eV/atom
* raw formation energy: 0.185 eV per atom

The structure in extended XYZ format:
```
4
Lattice="1.669 -5.005 0.000 1.669 5.005 0.000 0.000 0.000 8.647" Properties=species:S:1:pos:R:3 pbc="T T T"
P 0.000 0.000 0.000
Se 1.669 0.000 7.061
Cl 0.000 0.000 4.917
Cl 1.669 0.000 1.872
```

=====

(2)
Below is an optimized crystal structure of P2SeCl, with properties calculated at the PBE-GGA level.

Properties
* distance to the lowest polymorph of the same formula: 788.7 meV/atom
* total moment: 0.0 μB/cell
* volume: 20.08 A^3/atom
* total energy: -3.33 eV/atom
* raw formation energy: 0.706 eV per atom

The structure in extended XYZ format:
```
4
Lattice="3.285 0.000 0.000 0.000 3.877 0.000 0.000 0.000 6.308" Properties=species:S:1:pos:R:3 pbc="T T T"
P 0.000 0.000 0.000
P 1.642 0.000 3.154
Se 0.000 1.939 3.154
Cl 1.642 1.939 0.000
```

=====

(3)
Below is an optimized crystal structure of PSeCl2, with properties calculated at the PBE-GGA level.

Properties
* distance to the lowest polymorph of the same formula: 552.3 meV/atom
* total moment: 0.4 μB/cell
* volume: 26.55 A^3/atom
* total energy: -2.81 eV/atom
* raw formation energy: 0.338 eV per atom

The structure in extended XYZ format:
```
4
Lattice="1.566 -2.853 0.000 1.566 2.853 0.000 0.000 0.000 11.885" Properties=species:S:1:pos:R:3 pbc="T T T"
P 0.000 0.000 0.000
Se 0.000 0.000 5.943
Cl 1.566 0.000 1.798
Cl 1.566 0.000 10.087
```

=====

(4)
Below is an optimized crystal structure of PSeCl2, with properties calculated at the PBE-GGA level.

Properties
* distance to the lowest polymorph of the same formula: 0.0 meV/atom
* total moment: 0.0 μB/cell
* volume: 30.34 A^3/atom
* total energy: -3.36 eV/atom
* raw formation energy: -0.215 eV per atom

The structure in extended XYZ format:
```
4
Lattice="5.467 0.000 0.000 0.000 3.502 0.000 -0.102 0.000 6.338" Properties=species:S:1:pos:R:3 pbc="T T T"
P 0.000 0.000 0.000
Se 4.887 1.751 1.532
Cl 2.225 1.751 1.514
Cl 3.753 0.000 5.056
```

=====

(5)
Below is an optimized crystal structure of PSe2Cl, with properties calculated at the PBE-GGA level.

Properties
* distance to the lowest polymorph of the same formula: 313.3 meV/atom
* total moment: 0.0 μB/cell
* volume: 20.43 A^3/atom
* total energy: -3.44 eV/atom
* raw formation energy: 0.114 eV per atom

The structure in extended XYZ format:
```
4
Lattice="1.769 1.021 7.542 -1.769 1.021 7.542 0.000 -2.042 7.542" Properties=species:S:1:pos:R:3 pbc="T T T"
P 0.000 0.000 0.000
Se 0.000 0.000 6.049
Se 0.000 0.000 16.577
Cl 0.000 0.000 11.313
```

=====

(6)
Below is an optimized crystal structure of PSe2Cl, with properties calculated at the PBE-GGA level.

Properties
* distance to the lowest polymorph of the same formula: 983.1 meV/atom
* total moment: 0.0 μB/cell
* volume: 19.07 A^3/atom
* total energy: -2.77 eV/atom
* raw formation energy: 0.784 eV per atom

The structure in extended XYZ format:
```
4
Lattice="4.748 0.000 0.000 0.000 4.748 0.000 0.000 0.000 3.383" Properties=species:S:1:pos:R:3 pbc="T T T"
P 0.000 0.000 0.000
Se 0.000 2.374 1.691
Se 2.374 0.000 1.691
Cl 2.374 2.374 0.000
```

=====

(7)
Below is an optimized crystal structure of P2SeCl, with properties calculated at the PBE-GGA level.

Properties
* distance to the lowest polymorph of the same formula: 575.7 meV/atom
* total moment: 0.0 μB/cell
* volume: 21.21 A^3/atom
* total energy: -3.54 eV/atom
* raw formation energy: 0.493 eV per atom

The structure in extended XYZ format:
```
4
Lattice="3.607 0.000 0.000 0.000 3.607 0.000 0.000 0.000 6.523" Properties=species:S:1:pos:R:3 pbc="T T T"
P 0.000 0.000 1.081
P 0.000 0.000 5.442
Se 1.803 1.803 0.000
Cl 1.803 1.803 3.261
```

=====

(8)
Below is an optimized crystal structure of P2SeCl, with properties calculated at the PBE-GGA level.

Properties
* distance to the lowest polymorph of the same formula: 604.6 meV/atom
* total moment: 0.0 μB/cell
* volume: 20.40 A^3/atom
* total energy: -3.52 eV/atom
* raw formation energy: 0.522 eV per atom

The structure in extended XYZ format:
```
4
Lattice="2.048 1.182 5.619 -2.048 1.182 5.619 0.000 -2.364 5.619" Properties=species:S:1:pos:R:3 pbc="T T T"
P 0.000 0.000 3.829
P 0.000 0.000 13.027
Se 0.000 0.000 8.428
Cl 0.000 0.000 0.000
```

=====

(9)
Below is an optimized crystal structure of PSe2Cl, with properties calculated at the PBE-GGA level.

Properties
* distance to the lowest polymorph of the same formula: 381.7 meV/atom
* total moment: 0.0 μB/cell
* volume: 26.38 A^3/atom
* total energy: -3.37 eV/atom
* raw formation energy: 0.183 eV per atom

The structure in extended XYZ format:
```
4
Lattice="-1.758 2.354 6.377 1.758 -2.354 6.377 1.758 2.354 -6.377" Properties=species:S:1:pos:R:3 pbc="T T T"
P 0.000 0.000 0.000
Se 1.758 0.000 1.815
Se 0.000 0.000 7.142
Cl 0.000 2.354 4.555
```

=====

(10)
Below is an optimized crystal structure of P2SeCl, with properties calculated at the PBE-GGA level.

Properties
* distance to the lowest polymorph of the same formula: 0.0 meV/atom
* total moment: 0.0 μB/cell
* volume: 26.25 A^3/atom
* total energy: -4.12 eV/atom
* raw formation energy: -0.082 eV per atom

The structure in extended XYZ format:
```
4
Lattice="5.560 0.000 0.000 0.000 3.211 0.000 -0.491 0.000 5.882" Properties=species:S:1:pos:R:3 pbc="T T T"
P 0.000 0.000 0.000
P 0.446 1.605 1.536
Se 1.561 0.000 4.981
Cl 4.157 1.605 2.487
```

=====

(11)
Below is an optimized crystal structure of PSe2Cl, with properties calculated at the PBE-GGA level.

Properties
* distance to the lowest polymorph of the same formula: 299.0 meV/atom
* total moment: 0.0 μB/cell
* volume: 23.34 A^3/atom
* total energy: -3.46 eV/atom
* raw formation energy: 0.100 eV per atom

The structure in extended XYZ format:
```
4
Lattice="1.826 1.054 8.083 -1.826 1.054 8.083 0.000 -2.108 8.083" Properties=species:S:1:pos:R:3 pbc="T T T"
P 0.000 0.000 0.000
Se 0.000 0.000 9.605
Se 0.000 0.000 14.644
Cl 0.000 0.000 12.124
```

=====

(12)
Below is an optimized crystal structure of PSe4Cl, with properties calculated at the PBE-GGA level.

Properties
* total moment: 0.3 μB/cell
* volume: 21.05 A^3/atom
* total energy: -2.76 eV/atom
* raw formation energy: 0.772 eV per atom

The structure in extended XYZ format:
```
6
Lattice="0.000 3.982 3.982 3.982 0.000 3.982 3.982 3.982 0.000" Properties=species:S:1:pos:R:3 pbc="T T T"
P 0.000 0.000 0.000
Se 5.014 2.951 2.951
Se 2.951 5.014 2.951
Se 2.951 2.951 5.014
Se 5.014 5.014 5.014
Cl 1.991 1.991 1.991
```

=====

What did the second record say?
Below is an optimized crystal structure of P2SeCl, with properties calculated at the PBE-GGA level.

Properties
* distance to the lowest polymorph of the same formula: 788.7 meV/atom
* total moment: 0.0 μB/cell
* volume: 20.08 A^3/atom
* total energy: -3.33 eV/atom
* raw formation energy: 0.706 eV per atom

The structure in extended XYZ format:
```
4
Lattice="3.285 0.000 0.000 0.000 3.877 0.000 0.000 0.000 6.308" Properties=species:S:1:pos:R:3 pbc="T T T"
P 0.000 0.000 0.000
P 1.642 0.000 3.154
Se 0.000 1.939 3.154
Cl 1.642 1.939 0.000
```

=====

Copy entry 7 word for word.
Below is an optimized crystal structure of P2SeCl, with properties calculated at the PBE-GGA level.

Properties
* distance to the lowest polymorph of the same formula: 575.7 meV/atom
* total moment: 0.0 μB/cell
* volume: 21.21 A^3/atom
* total energy: -3.54 eV/atom
* raw formation energy: 0.493 eV per atom

The structure in extended XYZ format:
```
4
Lattice="3.607 0.000 0.000 0.000 3.607 0.000 0.000 0.000 6.523" Properties=species:S:1:pos:R:3 pbc="T T T"
P 0.000 0.000 1.081
P 0.000 0.000 5.442
Se 1.803 1.803 0.000
Cl 1.803 1.803 3.261
```

=====

> Among the records above, which one has the lowest volume?

number 6

=====

> Among the records above, which one has the lowest raw formation energy?

number 4